A.
This record from Alexandria via LeMat-Bulk describes a geometry-optimized Dy5SbAu2 structure. The functional is PBE.

Results
* density of states at the Fermi level: 0.8824 states/eV per atom

Cell: 8.673 8.673 8.673 Å, 124.52 124.52 82.34°
Sites, in units of the cell vectors:
Dy: 0.000 0.000 0.000
Dy: 0.012 0.512 0.811
Dy: 0.201 0.012 0.500
Dy: 0.299 0.799 0.811
Dy: 0.488 0.299 0.500
Dy: 0.500 0.500 0.000
Dy: 0.512 0.701 0.500
Dy: 0.701 0.201 0.189
Dy: 0.799 0.988 0.500
Dy: 0.988 0.488 0.189
Sb: 0.250 0.250 0.000
Sb: 0.750 0.750 0.000
Au: 0.137 0.363 0.500
Au: 0.363 0.863 0.226
Au: 0.637 0.137 0.774
Au: 0.863 0.637 0.500

B.
This record from Alexandria via LeMat-Bulk describes a geometry-optimized Dy5SbAu2 structure. The functional is PBE.

Results
* density of states at the Fermi level: 1.2073 states/eV per atom

Cell: 10.125 10.125 10.125 Å, 137.22 137.22 62.09°
Sites, in units of the cell vectors:
Dy: 0.000 0.000 0.000
Dy: 0.001 0.501 0.170
Dy: 0.169 0.999 0.500
Dy: 0.331 0.831 0.830
Dy: 0.499 0.669 0.500
Dy: 0.500 0.500 0.000
Dy: 0.501 0.331 0.500
Dy: 0.669 0.169 0.170
Dy: 0.831 0.001 0.500
Dy: 0.999 0.499 0.830
Sb: 0.250 0.250 0.000
Sb: 0.750 0.750 0.000
Au: 0.128 0.628 0.756
Au: 0.372 0.128 0.500
Au: 0.628 0.872 0.500
Au: 0.872 0.372 0.244

It is B that is the least stable of them.

A.
This record from Alexandria via LeMat-Bulk describes a geometry-optimized Dy2ScAu2 structure. The functional is PBE.

Results
* density of states at the Fermi level: 1.2627 states/eV per atom

Cell: 6.022 6.022 6.022 Å, 141.70 111.08 81.70°
Sites, in units of the cell vectors:
Dy: 0.202 0.202 0.000
Dy: 0.798 0.798 0.000
Sc: 0.500 0.000 0.500
Au: 0.216 0.500 0.716
Au: 0.784 0.500 0.284

B.
This record from Alexandria via LeMat-Bulk describes a geometry-optimized Dy2ScAu2 structure. The functional is PBE.

Results
* density of states at the Fermi level: 1.4147 states/eV per atom

Cell: 8.061 8.061 3.719 Å, 90.00 90.00 90.00°
Sites, in units of the cell vectors:
Dy: 0.166 0.334 0.000
Dy: 0.334 0.834 0.000
Dy: 0.666 0.166 0.000
Dy: 0.834 0.666 0.000
Sc: 0.000 0.000 0.500
Sc: 0.500 0.500 0.500
Au: 0.134 0.634 0.500
Au: 0.366 0.134 0.500
Au: 0.634 0.866 0.500
Au: 0.866 0.366 0.500

It is A that is the least stable of them.

A.
This record from Alexandria via LeMat-Bulk describes a geometry-optimized DyScAu2 structure. The functional is PBE.

Results
* density of states at the Fermi level: 0.7034 states/eV per atom

Cell: 4.964 4.964 4.964 Å, 60.00 60.00 60.00°
Sites, in units of the cell vectors:
Dy: 0.000 0.000 0.000
Sc: 0.500 0.500 0.500
Au: 0.250 0.250 0.250
Au: 0.750 0.750 0.750

B.
This record from Alexandria via LeMat-Bulk describes a geometry-optimized DyScAu2 structure. The functional is PBE.

Results
* density of states at the Fermi level: 0.5508 states/eV per atom

Cell: 3.479 3.479 7.082 Å, 90.00 90.00 90.00°
Sites, in units of the cell vectors:
Dy: 0.000 0.000 0.000
Sc: 0.000 0.000 0.500
Au: 0.500 0.500 0.273
Au: 0.500 0.500 0.727

It is A that is the least stable of them.

A.
This record from Alexandria via LeMat-Bulk describes a geometry-optimized DyScTlAu structure. The functional is PBE.

Results
* density of states at the Fermi level: 0.8480 states/eV per atom

Cell: 5.103 5.103 5.103 Å, 60.00 60.00 60.00°
Sites, in units of the cell vectors:
Dy: 0.000 0.000 0.000
Sc: 0.500 0.500 0.500
Tl: 0.250 0.250 0.250
Au: 0.750 0.750 0.750

B.
This record from Alexandria via LeMat-Bulk describes a geometry-optimized DyScTlAu structure. The functional is PBE.

Results
* density of states at the Fermi level: 0.6443 states/eV per atom

Cell: 3.531 3.531 7.490 Å, 90.00 90.00 90.00°
Sites, in units of the cell vectors:
Dy: 0.000 0.000 0.000
Sc: 0.000 0.000 0.542
Tl: 0.500 0.500 0.285
Au: 0.500 0.500 0.745

It is A that is the least stable of them.

A.
This record from Alexandria via LeMat-Bulk describes a geometry-optimized SmDy2Au structure. The functional is PBE.

Results
* density of states at the Fermi level: 1.2978 states/eV per atom

Cell: 10.061 10.061 10.061 Å, 21.55 21.55 21.55°
Sites, in units of the cell vectors:
Sm: 0.000 0.000 0.000
Dy: 0.236 0.236 0.236
Dy: 0.433 0.433 0.433
Au: 0.835 0.835 0.835

B.
This record from Alexandria via LeMat-Bulk describes a geometry-optimized SmDy2Au structure. The functional is PBE.

Results
* density of states at the Fermi level: 1.2408 states/eV per atom

Cell: 6.991 9.936 6.670 Å, 90.00 90.00 90.00°
Sites, in units of the cell vectors:
Sm: 0.004 0.250 0.126
Sm: 0.496 0.750 0.626
Sm: 0.504 0.250 0.374
Sm: 0.996 0.750 0.874
Dy: 0.187 0.053 0.682
Dy: 0.187 0.447 0.682
Dy: 0.313 0.553 0.182
Dy: 0.313 0.947 0.182
Dy: 0.687 0.053 0.818
Dy: 0.687 0.447 0.818
Dy: 0.813 0.553 0.318
Dy: 0.813 0.947 0.318
Au: 0.103 0.750 0.438
Au: 0.397 0.250 0.938
Au: 0.603 0.750 0.062
Au: 0.897 0.250 0.562

It is A that is the least stable of them.

A.
This record from Alexandria via LeMat-Bulk describes a geometry-optimized SmDy2Au structure. The functional is PBE.

Results
* density of states at the Fermi level: 1.3122 states/eV per atom

Cell: 6.490 6.490 7.801 Å, 90.00 90.00 135.17°
Sites, in units of the cell vectors:
Sm: 0.046 0.954 0.750
Sm: 0.954 0.046 0.250
Dy: 0.355 0.645 0.535
Dy: 0.355 0.645 0.965
Dy: 0.645 0.355 0.035
Dy: 0.645 0.355 0.465
Au: 0.204 0.796 0.250
Au: 0.796 0.204 0.750

B.
This record from Alexandria via LeMat-Bulk describes a geometry-optimized SmDy2Au structure. The functional is PBE.

Results
* density of states at the Fermi level: 1.3392 states/eV per atom

Cell: 10.277 10.277 10.277 Å, 20.72 20.72 20.72°
Sites, in units of the cell vectors:
Sm: 0.000 0.000 0.000
Dy: 0.236 0.236 0.236
Dy: 0.764 0.764 0.764
Au: 0.500 0.500 0.500

It is B that is the least stable of them.